Entry 1:
A plane-wave DFT calculation with GGA-PBE was carried out for crystalline Al2SiO5 at its relaxed geometry.

a b c (Å): 7.8751 7.9782 5.6136
angles (deg): 90.00 90.00 90.00
Space group Pnnm (No. 58)
One atom of each set of equivalent atoms:
Al  0.0000  0.0000  0.2418 (multiplicity 4)
Al  0.1295  0.3609  0.0000 (multiplicity 4)
Si  0.2457  0.7479  0.0000 (multiplicity 4)
O  0.0760  0.1364  0.5000 (multiplicity 4)
O  0.0759  0.1371  0.0000 (multiplicity 4)
O  0.1024  0.5995  0.0000 (multiplicity 4)
O  0.2308  0.8658  0.2398 (multiplicity 8)

Calculated values
- Formation energy (no corrections): -2.939 eV/atom
- Total moment: 0.0 μB per formula unit

=====

Entry 2:
A plane-wave DFT calculation with GGA-PBE was carried out for crystalline Al2Si2O9 at its relaxed geometry.

a b c (Å): 5.3226 8.1098 9.1694
angles (deg): 75.70 89.95 73.31
Space group P1 (No. 1)
One atom of each set of equivalent atoms:
Al  0.0000  0.0000  0.0000 (multiplicity 1)
Al  0.0242  0.0420  0.6924 (multiplicity 1)
Al  0.4114  0.0360  0.1521 (multiplicity 1)
Al  0.4463  0.0695  0.5060 (multiplicity 1)
Si  0.1513  0.4022  0.9327 (multiplicity 1)
Si  0.1813  0.3760  0.2686 (multiplicity 1)
Si  0.6729  0.3955  0.7714 (multiplicity 1)
Si  0.6773  0.3651  0.4512 (multiplicity 1)
O  0.0775  0.8736  0.8636 (multiplicity 1)
O  0.1546  0.4662  0.0895 (multiplicity 1)
O  0.2044  0.1849  0.9900 (multiplicity 1)
O  0.2150  0.1893  0.6120 (multiplicity 1)
O  0.2302  0.8853  0.1651 (multiplicity 1)
O  0.2921  0.9116  0.5961 (multiplicity 1)
O  0.3264  0.1529  0.3056 (multiplicity 1)
O  0.3812  0.4528  0.8312 (multiplicity 1)
O  0.3887  0.4370  0.3577 (multiplicity 1)
O  0.6577  0.4636  0.5862 (multiplicity 1)
O  0.7229  0.9173  0.0924 (multiplicity 1)
O  0.7337  0.8261  0.4358 (multiplicity 1)
O  0.7350  0.0919  0.1274 (multiplicity 1)
O  0.7376  0.1412  0.5266 (multiplicity 1)
O  0.8077  0.1791  0.8152 (multiplicity 1)
O  0.8630  0.4897  0.8405 (multiplicity 1)
O  0.8922  0.4114  0.3342 (multiplicity 1)
O  0.9769  0.7719  0.4431 (multiplicity 1)

Calculated values
- Formation energy (no corrections): -2.149 eV/atom
- Total moment: 2.0 μB per formula unit

=====

Entry 3:
A plane-wave DFT calculation with GGA-PBE was carried out for crystalline AlSiO2 at its relaxed geometry.

a b c (Å): 4.9937 4.9937 8.5126
angles (deg): 90.00 90.00 90.00
Space group I-42d (No. 122)
One atom of each set of equivalent atoms:
Al  0.0000  0.0000  0.0000 (multiplicity 4)
Si  0.0000  0.0000  0.5000 (multiplicity 4)
O  0.1346  0.2500  0.1250 (multiplicity 8)

Calculated values
- Formation energy (no corrections): -1.479 eV/atom
- Total moment: 0.0 μB per formula unit

=====

Entry 4:
A plane-wave DFT calculation with GGA-PBE was carried out for crystalline Al2SiO5 at its relaxed geometry.

a b c (Å): 5.4004 7.9422 10.3020
angles (deg): 89.14 87.08 88.83
Space group P-1 (No. 2)
One atom of each set of equivalent atoms:
Al  0.0021  0.1827  0.2383 (multiplicity 2)
Al  0.3393  0.7879  0.1979 (multiplicity 2)
Al  0.4356  0.1000  0.0968 (multiplicity 2)
Al  0.4383  0.6227  0.7732 (multiplicity 2)
Si  0.0701  0.8687  0.4358 (multiplicity 2)
Si  0.1328  0.3989  0.7182 (multiplicity 2)
O  0.0416  0.9258  0.5949 (multiplicity 2)
O  0.0920  0.6460  0.1823 (multiplicity 2)
O  0.1362  0.2723  0.5908 (multiplicity 2)
O  0.1560  0.6042  0.6758 (multiplicity 2)
O  0.1657  0.9980  0.1752 (multiplicity 2)
O  0.2790  0.2950  0.1924 (multiplicity 2)
O  0.2827  0.8029  0.8445 (multiplicity 2)
O  0.3385  0.8282  0.3746 (multiplicity 2)
O  0.4154  0.3980  0.7812 (multiplicity 2)
O  0.4470  0.1246  0.9242 (multiplicity 2)

Calculated values
- Formation energy (no corrections): -2.714 eV/atom
- Total moment: 0.0 μB per formula unit

=====

Entry 5:
A plane-wave DFT calculation with GGA-PBE was carried out for crystalline Al2SiO5 at its relaxed geometry.

a b c (Å): 5.6352 7.2029 7.9342
angles (deg): 73.99 89.90 78.87
Space group P-1 (No. 2)
One atom of each set of equivalent atoms:
Al  0.0420  0.3249  0.2960 (multiplicity 2)
Al  0.1403  0.9002  0.3863 (multiplicity 2)
Al  0.3350  0.1120  0.0827 (multiplicity 2)
Al  0.4503  0.7029  0.6987 (multiplicity 2)
Si  0.2067  0.7040  0.0649 (multiplicity 2)
Si  0.3110  0.2908  0.6685 (multiplicity 2)
O  0.0338  0.2905  0.0532 (multiplicity 2)
O  0.0721  0.2813  0.5554 (multiplicity 2)
O  0.1390  0.8776  0.6300 (multiplicity 2)
O  0.1677  0.8911  0.1529 (multiplicity 2)
O  0.2554  0.5013  0.7236 (multiplicity 2)
O  0.2560  0.4980  0.2301 (multiplicity 2)
O  0.3184  0.1232  0.3139 (multiplicity 2)
O  0.3716  0.1100  0.8536 (multiplicity 2)
O  0.4345  0.7176  0.9347 (multiplicity 2)
O  0.4552  0.7260  0.4548 (multiplicity 2)

Calculated values
- Formation energy (no corrections): -2.920 eV/atom
- Total moment: 0.0 μB per formula unit

=====

Entry 6:
A plane-wave DFT calculation with GGA-PBE was carried out for crystalline Al2SiO5 at its relaxed geometry.

a b c (Å): 9.4953 4.7176 6.6986
angles (deg): 90.00 112.06 90.00
Space group C2/c (No. 15)
One atom of each set of equivalent atoms:
Al  0.1333  0.0104  0.2271 (multiplicity 8)
Si  0.0000  0.5000  0.0000 (multiplicity 4)
O  0.0000  0.3114  0.7500 (multiplicity 4)
O  0.0813  0.1744  0.4522 (multiplicity 8)
O  0.1804  0.3572  0.1460 (multiplicity 8)

Calculated values
- Formation energy (no corrections): -2.839 eV/atom
- Total moment: 0.0 μB per formula unit

=====

Entry 7:
A plane-wave DFT calculation with GGA-PBE was carried out for crystalline AlSiO4 at its relaxed geometry.

a b c (Å): 5.4798 5.4798 7.7674
angles (deg): 90.00 90.00 90.00
Space group I-4m2 (No. 119)
One atom of each set of equivalent atoms:
Al  0.0000  0.0000  0.0000 (multiplicity 2)
Si  0.0000  0.5000  0.2500 (multiplicity 2)
O  0.0000  0.2589  0.1296 (multiplicity 8)

Calculated values
- Formation energy (no corrections): -2.460 eV/atom
- Total moment: 1.0 μB per formula unit

=====

Entry 8:
A plane-wave DFT calculation with GGA-PBE was carried out for crystalline AlSiO2 at its relaxed geometry.

a b c (Å): 2.6995 2.6995 30.7116
angles (deg): 90.00 90.00 120.00
Space group R-3m (No. 166, hexagonal axes)
One atom of each set of equivalent atoms:
Al  0.0000  0.0000  0.0000 (multiplicity 3)
Si  0.0000  0.0000  0.5000 (multiplicity 3)
O  0.0000  0.0000  0.1369 (multiplicity 6)

Calculated values
- Formation energy (no corrections): -1.685 eV/atom
- Total moment: 0.0 μB per formula unit

=====

Entry 9:
A plane-wave DFT calculation with GGA-PBE was carried out for crystalline Al3SiO at its relaxed geometry.

a b c (Å): 4.7333 4.7333 4.7333
angles (deg): 90.00 90.00 90.00
Space group Pm-3m (No. 221)
One atom of each set of equivalent atoms:
Al  0.0000  0.0000  0.5000 (multiplicity 3)
Si  0.0000  0.0000  0.0000 (multiplicity 1)
O  0.5000  0.5000  0.5000 (multiplicity 1)

Calculated values
- Formation energy (no corrections): 0.768 eV/atom
- Total moment: 0.0 μB per formula unit

=====

Entry 10:
A plane-wave DFT calculation with GGA-PBE was carried out for crystalline AlSi3O8 at its relaxed geometry.

a b c (Å): 7.2790 8.0733 8.0770
angles (deg): 114.23 103.60 105.37
Space group P-1 (No. 2)
One atom of each set of equivalent atoms:
Al  0.1664  0.4052  0.1746 (multiplicity 2)
Si  0.1706  0.1749  0.4110 (multiplicity 2)
Si  0.2757  0.1709  0.7958 (multiplicity 2)
Si  0.2845  0.8146  0.1797 (multiplicity 2)
O  0.0803  0.9549  0.6861 (multiplicity 2)
O  0.1044  0.7123  0.9620 (multiplicity 2)
O  0.2230  0.3499  0.3611 (multiplicity 2)
O  0.2366  0.6604  0.2604 (multiplicity 2)
O  0.2559  0.2648  0.6497 (multiplicity 2)
O  0.2756  0.3155  0.0037 (multiplicity 2)
O  0.2813  0.0247  0.3248 (multiplicity 2)
O  0.4878  0.1341  0.8300 (multiplicity 2)

Calculated values
- Formation energy (no corrections): -2.597 eV/atom
- Total moment: 1.1 μB per formula unit

=====

Entry 11:
A plane-wave DFT calculation with GGA-PBE was carried out for crystalline AlSi2O at its relaxed geometry.

a b c (Å): 4.5291 4.5291 12.1621
angles (deg): 90.00 90.00 90.00
Space group I-42d (No. 122)
One atom of each set of equivalent atoms:
Al  0.0000  0.0000  0.0000 (multiplicity 4)
Si  0.1267  0.2500  0.6250 (multiplicity 8)
O  0.0000  0.0000  0.5000 (multiplicity 4)

Calculated values
- Formation energy (no corrections): -0.218 eV/atom
- Total moment: 0.0 μB per formula unit

=====

Entry 12:
A plane-wave DFT calculation with GGA-PBE was carried out for crystalline Al2SiO5 at its relaxed geometry.

a b c (Å): 11.1866 5.7032 11.1940
angles (deg): 90.00 93.00 90.00
Space group Pm (No. 6)
One atom of each set of equivalent atoms:
Al  0.0000  0.0000  0.0000 (multiplicity 1)
Al  0.0303  0.5000  0.6229 (multiplicity 1)
Al  0.1877  0.5000  0.3095 (multiplicity 1)
Al  0.2584  0.2431  0.0638 (multiplicity 2)
Al  0.2804  0.2519  0.5645 (multiplicity 2)
Al  0.3299  0.0000  0.8211 (multiplicity 1)
Al  0.5083  0.0000  0.0044 (multiplicity 1)
Al  0.5174  0.0000  0.4899 (multiplicity 1)
Al  0.6872  0.0000  0.3078 (multiplicity 1)
Al  0.7102  0.5000  0.7965 (multiplicity 1)
Al  0.7587  0.2523  0.0579 (multiplicity 2)
Al  0.7750  0.2496  0.5520 (multiplicity 2)
Si  0.0089  0.5000  0.1166 (multiplicity 1)
Si  0.0346  0.0000  0.5048 (multiplicity 1)
Si  0.2106  0.0000  0.3191 (multiplicity 1)
Si  0.2160  0.5000  0.8107 (multiplicity 1)
Si  0.5184  0.5000  0.1191 (multiplicity 1)
Si  0.5272  0.5000  0.6108 (multiplicity 1)
Si  0.7108  0.5000  0.3016 (multiplicity 1)
Si  0.8196  0.0000  0.8107 (multiplicity 1)
O  0.0352  0.5000  0.2603 (multiplicity 1)
O  0.0701  0.0000  0.3620 (multiplicity 1)
O  0.0742  0.5000  0.7754 (multiplicity 1)
O  0.0978  0.2379  0.5634 (multiplicity 2)
O  0.1460  0.5000  0.0591 (multiplicity 1)
O  0.1483  0.0000  0.0500 (multiplicity 1)
O  0.2415  0.2350  0.2431 (multiplicity 2)
O  0.2542  0.5000  0.4552 (multiplicity 1)
O  0.2631  0.2648  0.8867 (multiplicity 2)
O  0.2823  0.5000  0.6793 (multiplicity 1)
O  0.2856  0.0000  0.6688 (multiplicity 1)
O  0.2875  0.0000  0.4493 (multiplicity 1)
O  0.3667  0.0000  0.0682 (multiplicity 1)
O  0.3722  0.5000  0.0913 (multiplicity 1)
O  0.4537  0.2648  0.5575 (multiplicity 2)
O  0.4811  0.0000  0.8530 (multiplicity 1)
O  0.5374  0.0000  0.3379 (multiplicity 1)
O  0.5574  0.5000  0.7529 (multiplicity 1)
O  0.5656  0.5000  0.2621 (multiplicity 1)
O  0.5790  0.2654  0.0592 (multiplicity 2)
O  0.6613  0.5000  0.5535 (multiplicity 1)
O  0.6705  0.0000  0.5492 (multiplicity 1)
O  0.7488  0.0000  0.1639 (multiplicity 1)
O  0.7517  0.5000  0.9488 (multiplicity 1)
O  0.7538  0.0000  0.9427 (multiplicity 1)
O  0.7540  0.2645  0.3751 (multiplicity 2)
O  0.7709  0.5000  0.1708 (multiplicity 1)
O  0.7784  0.2376  0.7334 (multiplicity 2)
O  0.8822  0.5000  0.5637 (multiplicity 1)
O  0.8927  0.0000  0.5358 (multiplicity 1)
O  0.9365  0.2615  0.0645 (multiplicity 2)
O  0.9610  0.0000  0.8468 (multiplicity 1)

Calculated values
- Formation energy (no corrections): -2.888 eV/atom
- Total moment: 0.0 μB per formula unit

=====

> The highest total moment belongs to which entry?

Al2Si2O9

=====

> formation energy (no corrections) of number 8 (AlSiO2)?

-1.685 eV/atom

=====

Repeat the third record exactly.
A plane-wave DFT calculation with GGA-PBE was carried out for crystalline AlSiO2 at its relaxed geometry.

a b c (Å): 4.9937 4.9937 8.5126
angles (deg): 90.00 90.00 90.00
Space group I-42d (No. 122)
One atom of each set of equivalent atoms:
Al  0.0000  0.0000  0.0000 (multiplicity 4)
Si  0.0000  0.0000  0.5000 (multiplicity 4)
O  0.1346  0.2500  0.1250 (multiplicity 8)

Calculated values
- Formation energy (no corrections): -1.479 eV/atom
- Total moment: 0.0 μB per formula unit

=====

> Which value of total moment does entry 3 give?

0.0 μB per formula unit